{
  "formula": "Ta4Te16PtI8",
  "functional": "PBE-GGA",
  "state": "optimized geometry",
  "cell": [[8.081, 0.000, 0.000], [1.983, 12.889, 0.000], [3.447, 2.043, 12.619]],
  "species": ["Ta", "Ta", "Ta", "Ta", "Te", "Te", "Te", "Te", "Te", "Te", "Te", "Te", "Te", "Te", "Te", "Te", "Te", "Te", "Te", "Te", "Pt", "I", "I", "I", "I", "I", "I", "I", "I"],
  "frac_coords": [[0.009, 0.244, 0.400], [0.246, 0.668, 0.724], [0.754, 0.332, 0.276], [0.991, 0.756, 0.600], [0.052, 0.799, 0.373], [0.061, 0.408, 0.237], [0.162, 0.350, 0.504], [0.204, 0.584, 0.953], [0.225, 0.795, 0.868], [0.289, 0.860, 0.583], [0.337, 0.681, 0.490], [0.365, 0.324, 0.049], [0.635, 0.676, 0.951], [0.663, 0.319, 0.510], [0.711, 0.140, 0.417], [0.775, 0.205, 0.132], [0.796, 0.416, 0.047], [0.838, 0.650, 0.496], [0.939, 0.592, 0.763], [0.948, 0.201, 0.627], [0.500, 0.500, 0.000], [0.212, 0.059, 0.719], [0.230, 0.089, 0.321], [0.471, 0.481, 0.301], [0.476, 0.781, 0.123], [0.524, 0.219, 0.877], [0.529, 0.519, 0.699], [0.770, 0.911, 0.679], [0.788, 0.941, 0.281]],
  "magmom_total_mub_per_fu": 0.23,
  "e_tot_ev_per_atom": -4.166
}